Here is a geometry-optimized Al4ZnCu15 structure from Alexandria. Energies are from GGA-PBE.

ΔE_f: -0.17 eV per atom
Total magnetic moment: 0.00 μB per formula unit
V: 249.9 Å³/cell

Lattice parameters (Å, degrees): 3.757 3.757 17.702 90.00 90.00 90.00
Fractional positions:
Cu 0.500 0.500 0.801
Cu 0.500 0.500 0.400
Cu 0.500 0.000 0.100
Cu 0.000 0.500 0.100
Cu 0.500 0.000 0.300
Cu 0.500 0.500 0.199
Cu 0.000 0.500 0.900
Cu 0.000 0.500 0.500
Cu 0.000 0.500 0.700
Cu 0.000 0.500 0.300
Cu 0.500 0.500 0.000
Cu 0.500 0.000 0.900
Cu 0.500 0.500 0.600
Cu 0.500 0.000 0.700
Cu 0.500 0.000 0.500
Al 0.000 0.000 0.199
Al 0.000 0.000 0.801
Al 0.000 0.000 0.400
Al 0.000 0.000 0.600
Zn 0.000 0.000 0.000



Here is a geometry-optimized Ce4PmPr3Te8 structure from Alexandria. Energies are from GGA-PBE.

ΔE_f (raw): -1.41 eV/atom
Total magnetic moment: 4.77 μB per formula unit
V: 517.0 Å³/cell

Lattice parameters (Å, degrees): 8.971 9.047 8.970 119.72 120.00 90.00
Fractional positions:
Te 0.751 0.249 0.502
Te 0.249 0.751 0.002
Te 0.247 0.249 0.998
Te 0.249 0.751 0.498
Te 0.249 0.247 0.498
Te 0.751 0.753 0.502
Te 0.751 0.249 0.998
Te 0.753 0.751 0.002
Ce 0.500 0.000 0.000
Ce 0.000 0.000 0.500
Ce 0.500 0.000 0.500
Ce 0.000 0.000 0.000
Pr 0.000 0.500 0.500
Pr 0.500 0.500 0.000
Pr 0.500 0.500 0.500
Pm 0.000 0.500 0.000



Here is a geometry-optimized Os5Se4 structure from Alexandria. Energies are from GGA-PBE.

ΔE_f (raw): 0.58 eV/atom
Total magnetic moment: 0.00 μB per formula unit
V: 155.9 Å³/cell

Lattice parameters (Å, degrees): 7.471 7.471 7.471 92.16 92.16 157.61
Fractional positions:
Se 0.296 0.000 0.296
Se 0.000 0.296 0.296
Se 0.704 0.000 0.704
Se 0.000 0.704 0.704
Os 0.350 0.350 0.700
Os 0.650 0.350 0.000
Os 0.350 0.650 0.000
Os 0.000 0.000 0.000
Os 0.650 0.650 0.300